## Ba2NaYPd (GGA-PBE)

Data for a relaxed Ba2NaYPd crystal.

The volume comes out at 225.15 Å³ per cell. The calculation puts the formation energy at -0.149 eV per atom.

The space group is P4/mmm (No. 123) and the conventional cell measures 6.394, 6.394 and 5.507 Å, with angles of 90.00, 90.00 and 90.00 degrees. The distinct sites, in fractional coordinates, are Ba at (0.000, 0.500, 0.000), Na at (0.000, 0.000, 0.500), Y at (0.500, 0.500, 0.500) and Pd at (0.500, 0.500, 0.000).

---

## DyTl2Cu2Se4 (GGA-PBE)

Data for a relaxed DyTl2Cu2Se4 crystal.

The volume comes out at 454.88 Å³ per cell. Its formation energy (no corrections) is -646 kJ/mol of formula units.

The space group is C2/m (No. 12) and the conventional cell measures 14.905, 3.994 and 8.042 Å, with angles of 90.00, 108.17 and 90.00 degrees. The distinct sites, in fractional coordinates, are Dy at (0.000, 0.000, 0.000), Tl at (0.133, 0.000, 0.560), Cu at (0.183, 0.500, 0.990), Se at (0.025, 0.500, 0.764) and Se at (0.202, 0.000, 0.179).

---

## MgFe2Mo (GGA-PBE)

Data for a relaxed MgFe2Mo crystal.

The volume comes out at 111.17 Å³ per cell. The calculation puts the formation energy at 0.245 eV per atom.

The space group is Imm2 (No. 44) and the conventional cell measures 2.826, 4.400 and 8.939 Å, with angles of 90.00, 90.00 and 90.00 degrees. The distinct sites, in fractional coordinates, are Mg at (0.000, 0.000, 0.000), Fe at (0.000, 0.000, 0.520), Fe at (0.000, 0.500, 0.235) and Mo at (0.000, 0.500, 0.780).

---

## La4SmCu2 (GGA-PBE)

Data for a relaxed La4SmCu2 crystal.

The volume comes out at 410.41 Å³ per cell. The calculation puts the formation energy at -0.009 eV per atom.

The space group is P2_1/m (No. 11) and the conventional cell measures 7.299, 6.849 and 8.683 Å, with angles of 90.00, 109.00 and 90.00 degrees. The distinct sites, in fractional coordinates, are La at (0.012, 0.250, 0.397), La at (0.218, 0.750, 0.331), La at (0.393, 0.014, 0.769), Sm at (0.142, 0.250, 0.042), Cu at (0.263, 0.750, 0.995) and Cu at (0.399, 0.250, 0.405).

---

## Sm3Ho2Tm5 (GGA-PBE)

Data for a relaxed Sm3Ho2Tm5 crystal.

As for the energy relative to the lowest polymorph listed for this composition: 0 meV/atom. The volume comes out at 1289.52 Å³ per cell. The calculation puts the formation energy at 0.198 eV per atom.

The space group is C2/c (No. 15) and the conventional cell measures 10.580, 15.757 and 9.363 Å, with angles of 90.00, 124.30 and 90.00 degrees. The distinct sites, in fractional coordinates, are Sm at (0.000, 0.234, 0.250), Sm at (0.146, 0.123, 0.046), Ho at (0.151, 0.382, 0.548), Tm at (0.000, 0.027, 0.250), Tm at (0.000, 0.271, 0.750), Tm at (0.000, 0.472, 0.750) and Tm at (0.243, 0.388, 0.236).

---

## RbSrH2I (GGA-PBE)

Data for a relaxed RbSrH2I crystal.

The volume comes out at 164.38 Å³ per cell.

The space group is P4/mmm (No. 123) and the conventional cell measures 4.979, 4.979 and 6.631 Å, with angles of 90.00, 90.00 and 90.00 degrees. The distinct sites, in fractional coordinates, are Rb at (0.000, 0.000, 0.000), Sr at (0.500, 0.500, 0.500), H at (0.000, 0.500, 0.500) and I at (0.500, 0.500, 0.000).

---

## Y3TiO (GGA-PBE)

Data for a relaxed Y3TiO crystal.

As for the energy relative to the lowest polymorph listed for this composition: 0 meV/atom. The volume comes out at 111.20 Å³ per cell. Its formation energy (no corrections) is -491 kJ/mol of formula units.

The space group is Pm-3m (No. 221) and the conventional cell measures 4.809, 4.809 and 4.809 Å, with angles of 90.00, 90.00 and 90.00 degrees. The distinct sites, in fractional coordinates, are Y at (0.000, 0.000, 0.500), Ti at (0.500, 0.500, 0.500) and O at (0.000, 0.000, 0.000).

---

## SrEuTl2 (GGA-PBE)

Data for a relaxed SrEuTl2 crystal.

The volume comes out at 527.40 Å³ per cell. The calculation puts the formation energy at -0.428 eV per atom.

The space group is Fm-3m (No. 225) and the conventional cell measures 8.079, 8.079 and 8.079 Å, with angles of 90.00, 90.00 and 90.00 degrees. The distinct sites, in fractional coordinates, are Sr at (0.000, 0.000, 0.000), Eu at (0.000, 0.000, 0.500) and Tl at (0.250, 0.250, 0.250).

---

## RbSrTlSn (GGA-PBE)

Data for a relaxed RbSrTlSn crystal.

The volume comes out at 593.76 Å³ per cell. The calculation puts the formation energy at -0.212 eV per atom.

The space group is F-43m (No. 216) and the conventional cell measures 8.405, 8.405 and 8.405 Å, with angles of 90.00, 90.00 and 90.00 degrees. The distinct sites, in fractional coordinates, are Rb at (0.000, 0.000, 0.000), Sr at (0.000, 0.000, 0.500), Tl at (0.250, 0.250, 0.250) and Sn at (0.250, 0.250, 0.750).

---

## RbZn2Ge2 (GGA-PBE)

Data for a relaxed RbZn2Ge2 crystal.

As for the energy relative to the lowest polymorph listed for this composition: 0 meV/atom. The volume comes out at 224.83 Å³ per cell. The calculation puts the formation energy at -0.039 eV per atom.

The space group is I4/mmm (No. 139) and the conventional cell measures 4.545, 4.545 and 10.882 Å, with angles of 90.00, 90.00 and 90.00 degrees. The distinct sites, in fractional coordinates, are Rb at (0.000, 0.000, 0.000), Zn at (0.000, 0.500, 0.250) and Ge at (0.000, 0.000, 0.379).

---

## Rb4MgCl6 (GGA-PBE)

Data for a relaxed Rb4MgCl6 crystal.

The volume comes out at 2151.64 Å³ per cell. Its formation energy (no corrections) is -2054 kJ/mol of formula units.

The space group is R-3c (No. 167, hexagonal axes) and the conventional cell measures 12.5678, 12.5678 and 15.7298 Å, with angles of 90.00, 90.00 and 120.00 degrees. The distinct sites, in fractional coordinates, are Rb at (0.0000, 0.0000, 0.2500), Rb at (0.0000, 0.3706, 0.2500), Mg at (0.0000, 0.0000, 0.0000) and Cl at (0.0253, 0.1785, 0.4056).

---

## Zr2HgIr2 (GGA-PBE)

Data for a relaxed Zr2HgIr2 crystal.

As for the energy relative to the lowest polymorph listed for this composition: 0 meV/atom. The volume comes out at 192.73 Å³ per cell. The calculation puts the formation energy at -0.601 eV per atom.

The space group is P4/mbm (No. 127) and the conventional cell measures 7.811, 7.811 and 3.159 Å, with angles of 90.00, 90.00 and 90.00 degrees. The distinct sites, in fractional coordinates, are Zr at (0.161, 0.339, 0.000), Hg at (0.000, 0.000, 0.500) and Ir at (0.134, 0.634, 0.500).

---

## Pm8HoBi6 (GGA-PBE)

Data for a relaxed Pm8HoBi6 crystal.

The volume comes out at 1558.26 Å³ per cell. The calculation puts the formation energy at -0.576 eV per atom.

The space group is R-3 (No. 148, hexagonal axes) and the conventional cell measures 8.2632, 8.2632 and 26.3520 Å, with angles of 90.00, 90.00 and 120.00 degrees. The distinct sites, in fractional coordinates, are Pm at (0.0000, 0.0000, 0.1669), Pm at (0.0022, 0.6621, 0.3780), Ho at (0.0000, 0.0000, 0.5000) and Bi at (0.0016, 0.6739, 0.5655).

---

## CsBaSN2 (GGA-PBE)

Data for a relaxed CsBaSN2 crystal.

As for the energy relative to the lowest polymorph listed for this composition: 428 meV/atom. The volume comes out at 145.02 Å³ per cell. Its formation energy (no corrections) is 575 kJ/mol of formula units.

The space group is P4/mmm (No. 123) and the conventional cell measures 4.723, 4.723 and 6.501 Å, with angles of 90.00, 90.00 and 90.00 degrees. The distinct sites, in fractional coordinates, are Cs at (0.000, 0.000, 0.000), Ba at (0.500, 0.500, 0.500), S at (0.000, 0.000, 0.500) and N at (0.000, 0.500, 0.000).

---

## YBe2Ag2 (GGA-PBE)

Data for a relaxed YBe2Ag2 crystal.

As for the energy relative to the lowest polymorph listed for this composition: 0 meV/atom. The volume comes out at 170.98 Å³ per cell. The calculation puts the formation energy at 0.009 eV per atom.

The space group is I4/mmm (No. 139) and the conventional cell measures 4.247, 4.247 and 9.478 Å, with angles of 90.00, 90.00 and 90.00 degrees. The distinct sites, in fractional coordinates, are Y at (0.000, 0.000, 0.000), Be at (0.000, 0.500, 0.250) and Ag at (0.000, 0.000, 0.358).

---

## CaTa2CuP (GGA-PBE)

Data for a relaxed CaTa2CuP crystal.

The volume comes out at 110.64 Å³ per cell. The calculation puts the formation energy at 0.503 eV per atom.

The space group is P4/mmm (No. 123) and the conventional cell measures 4.627, 4.627 and 5.168 Å, with angles of 90.00, 90.00 and 90.00 degrees. The distinct sites, in fractional coordinates, are Ca at (0.000, 0.000, 0.000), Ta at (0.000, 0.500, 0.500), Cu at (0.500, 0.500, 0.000) and P at (0.000, 0.000, 0.500).

---

## TiReHg2C (GGA-PBE)

Data for a relaxed TiReHg2C crystal.

The volume comes out at 83.13 Å³ per cell. The calculation puts the formation energy at 1.183 eV per atom.

The space group is P4/mmm (No. 123) and the conventional cell measures 4.481, 4.481 and 4.141 Å, with angles of 90.00, 90.00 and 90.00 degrees. The distinct sites, in fractional coordinates, are Ti at (0.000, 0.000, 0.000), Re at (0.500, 0.500, 0.000), Hg at (0.000, 0.500, 0.500) and C at (0.000, 0.000, 0.500).

---

## ScCdAs (GGA-PBE)

Data for a relaxed ScCdAs crystal.

As for the energy relative to the lowest polymorph listed for this composition: 227 meV/atom. The volume comes out at 277.53 Å³ per cell. The calculation puts the formation energy at -0.272 eV per atom.

The space group is F-43m (No. 216) and the conventional cell measures 6.523, 6.523 and 6.523 Å, with angles of 90.00, 90.00 and 90.00 degrees. The distinct sites, in fractional coordinates, are Sc at (0.000, 0.000, 0.000), Cd at (0.000, 0.000, 0.500) and As at (0.250, 0.250, 0.750).

---

## MgTeWN2 (GGA-PBE)

Data for a relaxed MgTeWN2 crystal.

As for the energy relative to the lowest polymorph listed for this composition: 0 meV/atom. The volume comes out at 90.77 Å³ per cell. Its formation energy (no corrections) is 69 kJ/mol of formula units.

The space group is P4/mmm (No. 123) and the conventional cell measures 3.965, 3.965 and 5.772 Å, with angles of 90.00, 90.00 and 90.00 degrees. The distinct sites, in fractional coordinates, are Mg at (0.000, 0.000, 0.000), Te at (0.500, 0.500, 0.000), W at (0.500, 0.500, 0.500) and N at (0.000, 0.500, 0.500).

---

## Dy3Tl2Zn (GGA-PBE)

Data for a relaxed Dy3Tl2Zn crystal.

The volume comes out at 154.48 Å³ per cell. The calculation puts the formation energy at -0.353 eV per atom.

The space group is P4/mmm (No. 123) and the conventional cell measures 3.660, 3.660 and 11.532 Å, with angles of 90.00, 90.00 and 90.00 degrees. The distinct sites, in fractional coordinates, are Dy at (0.000, 0.000, 0.000), Dy at (0.000, 0.000, 0.353), Tl at (0.500, 0.500, 0.177) and Zn at (0.500, 0.500, 0.500).

---

Number 1: total DFT energy (no corrections) -17.564 eV/f.u.. Number 2: total DFT energy (no corrections) -38.155 eV/f.u.. Number 3: total DFT energy (no corrections) -28.371 eV/f.u.. Number 4: total DFT energy (no corrections) -32.684 eV/f.u.. Number 5: total DFT energy (no corrections) -43.686 eV/f.u.. Number 6: total DFT energy (no corrections) -14.451 eV/f.u.. Number 7: total DFT energy (no corrections) -37.333 eV/f.u.. Number 8: total DFT energy (no corrections) -18.399 eV/f.u.. Number 9: total DFT energy (no corrections) -9.868 eV/f.u.. Number 10: total DFT energy (no corrections) -12.946 eV/f.u.. Number 11: total DFT energy (no corrections) -37.830 eV/f.u.. Number 12: total DFT energy (no corrections) -38.123 eV/f.u.. Number 13: total DFT energy (no corrections) -74.509 eV/f.u.. Number 14: total DFT energy (no corrections) -17.598 eV/f.u.. Number 15: total DFT energy (no corrections) -19.576 eV/f.u.. Number 16: total DFT energy (no corrections) -32.699 eV/f.u.. Number 17: total DFT energy (no corrections) -24.256 eV/f.u.. Number 18: total DFT energy (no corrections) -12.711 eV/f.u.. Number 19: total DFT energy (no corrections) -33.627 eV/f.u.. Number 20: total DFT energy (no corrections) -21.934 eV/f.u..